Below is an optimized crystal structure of Mn2TlO3, with properties calculated at the PBE+U level.

Values from the calculation:
* calculated total energy: -6.590 eV/atom
* N(E_F): 0.3047 states/eV per atom
* V: 178 Å³/cell

Unit cell a=6.3973 b=5.8689 c=5.9644 alpha=106.46 beta=122.43 gamma=90.00
Fractional positions:
Mn 0.7332 0.5500 0.3078
Mn 0.5746 0.0500 0.3078
Mn 0.4254 0.9500 0.6922
Mn 0.2668 0.4500 0.6922
Tl 0.9632 0.7500 0.0000
Tl 0.0368 0.2500 0.0000
O 0.4321 0.2500 0.0000
O 0.5679 0.7500 0.0000
O 0.3878 0.1930 0.4888
O 0.8989 0.3070 0.5112
O 0.1011 0.6930 0.4888
O 0.6122 0.8070 0.5112